# 1
NpTcNiO6, optimized geometry, DFT GGA+U; calculated volume = 11.8 A^3/atom; uncorrected energy = -72.21 eV per formula unit
1.0
5.202 0.000 0.000
-2.601 4.505 0.000
0.000 0.000 9.043
Np Tc Ni O
2 2 2 12
direct
0.333 0.667 0.250 Np
0.667 0.333 0.750 Np
0.000 0.000 0.000 Tc
0.000 0.000 0.500 Tc
0.333 0.667 0.750 Ni
0.667 0.333 0.250 Ni
0.001 0.322 0.625 O
0.001 0.679 0.875 O
0.321 0.322 0.875 O
0.321 0.999 0.625 O
0.322 0.001 0.125 O
0.322 0.321 0.375 O
0.678 0.679 0.625 O
0.678 0.999 0.875 O
0.679 0.001 0.375 O
0.679 0.678 0.125 O
0.999 0.321 0.125 O
0.999 0.678 0.375 O


# 2
Li2V3CoO8, optimized geometry, DFT GGA+U; calculated volume = 10.4 A^3/atom; uncorrected energy = -97.27 eV per formula unit
1.0
5.823 0.000 0.000
-2.785 5.166 0.000
-2.900 -1.594 9.640
Li V Co O
4 6 2 16
direct
0.122 0.062 0.190 Li
0.127 0.566 0.688 Li
0.873 0.434 0.312 Li
0.878 0.938 0.810 Li
0.000 0.000 0.500 V
0.000 0.500 0.000 V
0.497 0.752 0.250 V
0.500 0.000 0.000 V
0.500 0.500 0.500 V
0.503 0.248 0.750 V
0.500 0.000 0.500 Co
0.500 0.500 0.000 Co
0.254 0.847 0.125 O
0.256 0.628 0.896 O
0.264 0.405 0.117 O
0.269 0.139 0.394 O
0.277 0.913 0.624 O
0.281 0.372 0.623 O
0.287 0.653 0.386 O
0.290 0.158 0.879 O
0.710 0.842 0.121 O
0.713 0.347 0.614 O
0.719 0.628 0.377 O
0.723 0.087 0.376 O
0.731 0.861 0.606 O
0.736 0.595 0.883 O
0.744 0.372 0.104 O
0.746 0.153 0.875 O


Q: What is the uncorrected energy in the second record?
A: -97.27 eV per formula unit